VASP calculation (PBEsol) on Y2FeCoRe after structural relaxation.

abc: 3.992 4.980 4.980
angles: 90.00 90.00 90.00
Sites, in units of the cell vectors:
Y  0.000  0.000  0.500
Y  0.000  0.500  0.000
Re  0.500  0.500  0.500
Co  0.000  0.000  0.000
Fe  0.500  0.000  0.000

Calculated values
Final energy ... -7.827 eV per atom
V ... 99.0 Å³/cell